Material: Ba2SrAu2
Method: DFT, PBE-GGA
State: relaxed

The structure belongs to space group P4/mbm (No. 127); the cell edges are 8.8361, 8.8361 and 4.7171 Å and the angles 90.00°, 90.00° and 90.00°. The inequivalent atoms are Ba at (0.1586, 0.3414, 0.0000), Sr at (0.0000, 0.0000, 0.5000) and Au at (0.1410, 0.6410, 0.5000).

Its density of states at the Fermi level is 3.49 states/eV/f.u. Its energy of formation from the pure elements is -0.621 eV/atom. The calculation puts the offset from the most stable computed form at 0 meV/atom.

=====

Material: IrPt3Se
Method: DFT, PBE-GGA
State: relaxed

The structure belongs to space group Pm-3m (No. 221); the cell edges are 4.8410, 4.8410 and 4.8410 Å and the angles 90.00°, 90.00° and 90.00°. The inequivalent atoms are Ir at (0.0000, 0.0000, 0.0000), Pt at (0.0000, 0.0000, 0.5000) and Se at (0.5000, 0.5000, 0.5000).

Its density of states at the Fermi level is 9.73 states/eV/f.u. The calculation puts the offset from the most stable computed form at 242 meV/atom. As for the energy relative to the elements, uncorrected: 7.0 eV/f.u.